Density functional theory data (PBE-GGA) for an optimized crystal structure of SmTmZnSn.

Results
Formation energy = -487 meV per atom

a b c (Å): 7.359 7.359 7.359
angles (deg): 90.00 90.00 90.00
Space group F-43m (No. 216)
Asymmetric unit:
1 Sm 0.000 0.000 0.000 [4 per cell]
2 Tm 0.000 0.000 0.500 [4 per cell]
3 Zn 0.250 0.250 0.750 [4 per cell]
4 Sn 0.250 0.250 0.250 [4 per cell]

Density functional theory data (PBE-GGA) for an optimized crystal structure of Er4GeBiSe2.

Results
Formation energy from raw total energies = -1298 meV per atom

a b c (Å): 7.187 4.177 7.305
angles (deg): 90.00 109.51 90.00
Space group P2/m (No. 10)
Asymmetric unit:
1 Er 0.243 0.000 0.233 [2 per cell]
2 Er 0.253 0.500 0.769 [2 per cell]
3 Ge 0.000 0.500 0.000 [1 per cell]
4 Bi 0.000 0.000 0.500 [1 per cell]
5 Se 0.500 0.000 0.000 [1 per cell]
6 Se 0.500 0.500 0.500 [1 per cell]

Density functional theory data (PBE-GGA) for an optimized crystal structure of SrSI2.

Results
Formation energy from raw total energies = -577 meV per atom

a b c (Å): 8.132 8.132 8.132
angles (deg): 90.00 90.00 90.00
Space group Fm-3m (No. 225)
Asymmetric unit:
1 Sr 0.000 0.000 0.000 [4 per cell]
2 S 0.000 0.000 0.500 [4 per cell]
3 I 0.250 0.250 0.250 [8 per cell]

Density functional theory data (PBE-GGA) for an optimized crystal structure of Sr2SbTe2.

Results
Formation energy from raw total energies = -885 meV per atom

a b c (Å): 4.425 4.425 18.004
angles (deg): 90.00 90.00 90.00
Space group I4/mmm (No. 139)
Asymmetric unit:
1 Sr 0.000 0.000 0.102 [4 per cell]
2 Sb 0.000 0.000 0.500 [2 per cell]
3 Te 0.000 0.500 0.250 [4 per cell]

Density functional theory data (PBE-GGA) for an optimized crystal structure of K4Hf2Sb.

Results
Formation energy from raw total energies = 993 meV per atom

a b c (Å): 6.921 6.921 16.811
angles (deg): 90.00 90.00 90.00
Space group I4/mmm (No. 139)
Asymmetric unit:
1 K 0.000 0.000 0.199 [4 per cell]
2 K 0.000 0.500 0.000 [4 per cell]
3 Hf 0.000 0.000 0.427 [4 per cell]
4 Sb 0.000 0.000 0.000 [2 per cell]

Density functional theory data (PBE-GGA) for an optimized crystal structure of Li2PtW.

Results
Formation energy = 59 meV per atom

a b c (Å): 2.7920 2.7920 28.3229
angles (deg): 90.00 90.00 120.00
Space group R3m (No. 160, hexagonal axes)
Asymmetric unit:
1 Li 0.0000 0.0000 0.0000 [3 per cell]
2 Li 0.0000 0.0000 0.2432 [3 per cell]
3 Pt 0.0000 0.0000 0.5001 [3 per cell]
4 W 0.0000 0.0000 0.7538 [3 per cell]

Density functional theory data (PBE-GGA) for an optimized crystal structure of ScSiHg2.

Results
Formation energy from raw total energies = -39 meV per atom

a b c (Å): 3.251 3.251 7.974
angles (deg): 90.00 90.00 90.00
Space group P4mm (No. 99)
Asymmetric unit:
1 Sc 0.000 0.000 0.000 [1 per cell]
2 Si 0.500 0.500 0.200 [1 per cell]
3 Hg 0.000 0.000 0.450 [1 per cell]
4 Hg 0.500 0.500 0.736 [1 per cell]

Density functional theory data (PBE-GGA) for an optimized crystal structure of SmPd6Au4.

Results
Formation energy = -87 meV per atom

a b c (Å): 6.476 6.476 10.503
angles (deg): 90.00 90.00 90.00
Space group I-42m (No. 121)
Asymmetric unit:
1 Sm 0.000 0.000 0.000 [2 per cell]
2 Pd 0.000 0.500 0.000 [4 per cell]
3 Pd 0.159 0.159 0.406 [8 per cell]
4 Au 0.240 0.240 0.672 [8 per cell]

Density functional theory data (PBE-GGA) for an optimized crystal structure of Nd2HgAu.

Results
Formation energy = -616 meV per atom

a b c (Å): 3.779 3.779 7.554
angles (deg): 90.00 90.00 90.00
Space group P4/mmm (No. 123)
Asymmetric unit:
1 Nd 0.000 0.000 0.238 [2 per cell]
2 Hg 0.500 0.500 0.500 [1 per cell]
3 Au 0.500 0.500 0.000 [1 per cell]

Density functional theory data (PBE-GGA) for an optimized crystal structure of Nd2Dy6HoTm3.

Results
Formation energy = 20 meV per atom

a b c (Å): 6.150 10.644 11.761
angles (deg): 90.00 100.00 90.00
Space group C2/m (No. 12)
Asymmetric unit:
1 Nd 0.000 0.167 0.000 [4 per cell]
2 Dy 0.247 0.500 0.746 [4 per cell]
3 Dy 0.249 0.166 0.746 [8 per cell]
4 Ho 0.000 0.500 0.000 [2 per cell]
5 Tm 0.000 0.000 0.500 [2 per cell]
6 Tm 0.000 0.334 0.500 [4 per cell]

Density functional theory data (PBE-GGA) for an optimized crystal structure of Rb2CrOs.

Results
Formation energy = 2124 meV per atom

a b c (Å): 8.061 8.061 8.061
angles (deg): 90.00 90.00 90.00
Space group Fm-3m (No. 225)
Asymmetric unit:
1 Rb 0.250 0.250 0.250 [8 per cell]
2 Cr 0.000 0.000 0.000 [4 per cell]
3 Os 0.000 0.000 0.500 [4 per cell]

Density functional theory data (PBE-GGA) for an optimized crystal structure of La2CdSe.

Results
Formation energy from raw total energies = -261 meV per atom

a b c (Å): 7.609 7.609 7.609
angles (deg): 90.00 90.00 90.00
Space group F-43m (No. 216)
Asymmetric unit:
1 La 0.000 0.000 0.000 [4 per cell]
2 La 0.250 0.250 0.250 [4 per cell]
3 Cd 0.250 0.250 0.750 [4 per cell]
4 Se 0.000 0.000 0.500 [4 per cell]

Density functional theory data (PBE-GGA) for an optimized crystal structure of BeInTc2.

Results
Formation energy = 303 meV per atom

a b c (Å): 8.515 2.926 5.000
angles (deg): 90.00 97.99 90.00
Space group Cm (No. 8)
Asymmetric unit:
1 Be 0.000 0.000 0.000 [2 per cell]
2 In 0.237 0.000 0.719 [2 per cell]
3 Tc 0.237 0.500 0.201 [2 per cell]
4 Tc 0.485 0.000 0.396 [2 per cell]

Density functional theory data (PBE-GGA) for an optimized crystal structure of NaTlV3.

Results
Formation energy = 2009 meV per atom

a b c (Å): 4.523 4.523 4.523
angles (deg): 90.00 90.00 90.00
Space group Pm-3m (No. 221)
Asymmetric unit:
1 Na 0.000 0.000 0.000 [1 per cell]
2 Tl 0.500 0.500 0.500 [1 per cell]
3 V 0.000 0.000 0.500 [3 per cell]

Density functional theory data (PBE-GGA) for an optimized crystal structure of YMnS2.

Results
Formation energy from raw total energies = -993 meV per atom

a b c (Å): 6.594 6.594 6.594
angles (deg): 90.00 90.00 90.00
Space group Fm-3m (No. 225)
Asymmetric unit:
1 Y 0.000 0.000 0.000 [4 per cell]
2 Mn 0.000 0.000 0.500 [4 per cell]
3 S 0.250 0.250 0.250 [8 per cell]

Density functional theory data (PBE-GGA) for an optimized crystal structure of PmTm2C.

Results
Formation energy = -221 meV per atom

a b c (Å): 3.5460 3.5460 27.3367
angles (deg): 90.00 90.00 120.00
Space group R3m (No. 160, hexagonal axes)
Asymmetric unit:
1 Pm 0.0000 0.0000 0.0000 [3 per cell]
2 Tm 0.0000 0.0000 0.5472 [3 per cell]
3 Tm 0.0000 0.0000 0.7837 [3 per cell]
4 C 0.0000 0.0000 0.1649 [3 per cell]

Density functional theory data (PBE-GGA) for an optimized crystal structure of CaIn3Ag3.

Results
Formation energy = -153 meV per atom

a b c (Å): 8.4547 8.4547 16.7276
angles (deg): 90.00 90.00 120.00
Space group R-3 (No. 148, hexagonal axes)
Asymmetric unit:
1 Ca 0.0000 0.0000 0.1705 [6 per cell]
2 In 0.0009 0.3299 0.9557 [18 per cell]
3 Ag 0.0018 0.7098 0.5470 [18 per cell]

Density functional theory data (PBE-GGA) for an optimized crystal structure of MnBiHRh2.

Results
Final energy = -31.19 eV/cell

a b c (Å): 4.126 4.126 4.039
angles (deg): 90.00 90.00 90.00
Space group P4/mmm (No. 123)
Asymmetric unit:
1 Mn 0.000 0.000 0.000 [1 per cell]
2 Bi 0.500 0.500 0.000 [1 per cell]
3 H 0.000 0.000 0.500 [1 per cell]
4 Rh 0.000 0.500 0.500 [2 per cell]

Density functional theory data (PBE-GGA) for an optimized crystal structure of TbEuPdPt.

Results
Formation energy = -906 meV per atom

a b c (Å): 7.101 7.101 7.101
angles (deg): 90.00 90.00 90.00
Space group F-43m (No. 216)
Asymmetric unit:
1 Tb 0.000 0.000 0.000 [4 per cell]
2 Eu 0.000 0.000 0.500 [4 per cell]
3 Pd 0.250 0.250 0.250 [4 per cell]
4 Pt 0.250 0.250 0.750 [4 per cell]

Density functional theory data (PBE-GGA) for an optimized crystal structure of LiZn7Ag3.

Results
Formation energy = 61 meV per atom

a b c (Å): 9.280 9.054 4.879
angles (deg): 90.00 113.96 90.00
Space group C2/m (No. 12)
Asymmetric unit:
1 Li 0.000 0.000 0.000 [2 per cell]
2 Zn 0.000 0.000 0.500 [2 per cell]
3 Zn 0.176 0.255 0.171 [8 per cell]
4 Zn 0.231 0.500 0.555 [4 per cell]
5 Ag 0.000 0.296 0.500 [4 per cell]
6 Ag 0.000 0.500 0.000 [2 per cell]

Density functional theory data (PBE-GGA) for an optimized crystal structure of Cd2HgICl.

Results
Formation energy from raw total energies = 48 meV per atom

a b c (Å): 5.633 5.633 5.653
angles (deg): 90.00 90.00 90.00
Space group P4/mmm (No. 123)
Asymmetric unit:
1 Cd 0.000 0.500 0.000 [2 per cell]
2 Hg 0.000 0.000 0.000 [1 per cell]
3 I 0.000 0.000 0.500 [1 per cell]
4 Cl 0.500 0.500 0.500 [1 per cell]

Density functional theory data (PBE-GGA) for an optimized crystal structure of Tl3CoS.

Results
Formation energy from raw total energies = 224 meV per atom

a b c (Å): 5.041 5.041 5.041
angles (deg): 90.00 90.00 90.00
Space group Pm-3m (No. 221)
Asymmetric unit:
1 Tl 0.000 0.000 0.500 [3 per cell]
2 Co 0.000 0.000 0.000 [1 per cell]
3 S 0.500 0.500 0.500 [1 per cell]

Density functional theory data (PBE-GGA) for an optimized crystal structure of Ce3Zn2Ag9.

Results
Formation energy = -103 meV per atom

a b c (Å): 4.636 9.931 13.125
angles (deg): 90.00 90.00 90.00
Space group Immm (No. 71)
Asymmetric unit:
1 Ce 0.000 0.000 0.000 [2 per cell]
2 Ce 0.000 0.000 0.301 [4 per cell]
3 Zn 0.000 0.191 0.500 [4 per cell]
4 Ag 0.000 0.282 0.127 [8 per cell]
5 Ag 0.000 0.362 0.338 [8 per cell]
6 Ag 0.000 0.500 0.000 [2 per cell]